PaCo2Tc, optimized geometry, DFT GGA-PBE; formation energy = 0.13 eV/f.u.; space group = R-3m (166); total magnetization = 0.34 μB/atom; excess energy over the best structure of this formula in the dataset = 220.6 meV per atom
1.0
2.1828 1.2602 3.7157
-2.1828 1.2602 3.7157
0.0000 -2.5204 3.7157
Pa Co Tc
1 2 1
Cartesian
0.0000 0.0000 0.0000
0.0000 0.0000 3.0584
0.0000 0.0000 8.0886
0.0000 0.0000 5.5735

CrGePd14, optimized geometry, DFT GGA-PBE; formation energy = -1.73 eV/f.u.; space group = P4/mmm (123); total magnetization = 0.15 μB/atom
1.0
5.6037 0.0000 0.0000
0.0000 5.6037 0.0000
0.0000 0.0000 7.7396
Cr Ge Pd
1 1 14
Cartesian
0.0000 0.0000 0.0000
2.8018 2.8018 0.0000
0.0000 0.0000 3.8698
0.0000 2.8018 0.0000
0.0000 2.8018 3.8698
1.4006 1.4006 1.8813
1.4006 1.4006 5.8583
1.4006 4.2031 1.8813
1.4006 4.2031 5.8583
2.8018 0.0000 0.0000
2.8018 0.0000 3.8698
2.8018 2.8018 3.8698
4.2031 1.4006 1.8813
4.2031 1.4006 5.8583
4.2031 4.2031 1.8813
4.2031 4.2031 5.8583

Ti4PbW, optimized geometry, DFT GGA-PBE; formation energy = 0.94 eV/f.u.; space group = Immm (71); total magnetization = 0.00 μB/atom
1.0
-2.6373 3.2912 6.7194
2.6373 -3.2912 6.7194
2.6373 3.2912 -6.7194
Ti Pb W
8 2 2
Cartesian
2.6373 1.7985 -1.5893
0.0000 0.0000 2.3435
0.0000 2.1164 0.0000
2.6373 1.7985 1.5893
0.0000 1.4927 5.1302
0.0000 4.4661 0.0000
0.0000 0.0000 11.0954
0.0000 1.4927 8.3087
2.6373 0.0000 4.0115
0.0000 3.2912 2.7079
1.3493 0.0000 0.0000
3.9253 0.0000 0.0000

What did the first record say?
PaCo2Tc, optimized geometry, DFT GGA-PBE; formation energy = 0.13 eV/f.u.; space group = R-3m (166); total magnetization = 0.34 μB/atom; excess energy over the best structure of this formula in the dataset = 220.6 meV per atom
1.0
2.1828 1.2602 3.7157
-2.1828 1.2602 3.7157
0.0000 -2.5204 3.7157
Pa Co Tc
1 2 1
Cartesian
0.0000 0.0000 0.0000
0.0000 0.0000 3.0584
0.0000 0.0000 8.0886
0.0000 0.0000 5.5735

Copy entry 1 word for word.
PaCo2Tc, optimized geometry, DFT GGA-PBE; formation energy = 0.13 eV/f.u.; space group = R-3m (166); total magnetization = 0.34 μB/atom; excess energy over the best structure of this formula in the dataset = 220.6 meV per atom
1.0
2.1828 1.2602 3.7157
-2.1828 1.2602 3.7157
0.0000 -2.5204 3.7157
Pa Co Tc
1 2 1
Cartesian
0.0000 0.0000 0.0000
0.0000 0.0000 3.0584
0.0000 0.0000 8.0886
0.0000 0.0000 5.5735